Record 1
Crystalline TmTh3S4 at its relaxed geometry. Source: Alexandria via LeMat-Bulk, functional PBE.

The value obtained for the uncorrected energy is -116.097 eV per cell. The formation energy from raw total energies is -1.85 eV per atom.

The structure belongs to space group P2/c (No. 13); the cell edges are 6.929, 8.130 and 6.835 Å and the angles 90.00°, 110.27° and 90.00°. The asymmetric unit holds Tm at (0.000, 0.124, 0.250), Th at (0.000, 0.375, 0.750), Th at (0.500, 0.125, 0.750), Th at (0.500, 0.376, 0.250), S at (0.236, 0.118, 0.000) and S at (0.242, 0.367, 0.492).



Record 2
Crystalline TmTh3S at its relaxed geometry. Source: Alexandria via LeMat-Bulk, functional PBE.

The value obtained for the uncorrected energy is -33.668 eV per cell. The formation energy from raw total energies is -0.56 eV per atom.

The structure belongs to space group Pm-3m (No. 221); the cell edges are 5.415, 5.415 and 5.415 Å and the angles 90.00°, 90.00° and 90.00°. The asymmetric unit holds Tm at (0.000, 0.000, 0.000), Th at (0.000, 0.500, 0.500) and S at (0.500, 0.500, 0.500).



Record 3
Crystalline Tm2ThS3 at its relaxed geometry. Source: Alexandria via LeMat-Bulk, functional PBE.

The value obtained for the uncorrected energy is -160.003 eV per cell. The formation energy from raw total energies is -1.88 eV per atom.

The structure belongs to space group C2/m (No. 12); the cell edges are 6.737, 11.636 and 6.870 Å and the angles 90.00°, 109.07° and 90.00°. The asymmetric unit holds Tm at (0.000, 0.000, 0.000), Tm at (0.000, 0.169, 0.500), Tm at (0.000, 0.500, 0.500), Th at (0.000, 0.333, 0.000), S at (0.235, 0.000, 0.735) and S at (0.250, 0.162, 0.264).



Record 4
Crystalline TmTh2S3 at its relaxed geometry. Source: Alexandria via LeMat-Bulk, functional PBE.

The value obtained for the uncorrected energy is -171.296 eV per cell. The formation energy from raw total energies is -1.86 eV per atom.

The structure belongs to space group C2/m (No. 12); the cell edges are 6.853, 11.835 and 6.976 Å and the angles 90.00°, 108.97° and 90.00°. The asymmetric unit holds Tm at (0.000, 0.167, 0.000), Th at (0.000, 0.000, 0.500), Th at (0.000, 0.338, 0.500), Th at (0.000, 0.500, 0.000), S at (0.231, 0.000, 0.231) and S at (0.249, 0.173, 0.763).



Record 5
Crystalline TmTh2S4 at its relaxed geometry. Source: Alexandria via LeMat-Bulk, functional PBE.

The value obtained for the uncorrected energy is -194.578 eV per cell. The formation energy from raw total energies is -1.83 eV per atom.

The structure belongs to space group Cmcm (No. 63); the cell edges are 3.797, 13.187 and 13.538 Å and the angles 90.00°, 90.00° and 90.00°. The asymmetric unit holds Tm at (0.000, 0.121, 0.250), Th at (0.000, 0.360, 0.069), S at (0.000, 0.000, 0.000), S at (0.000, 0.289, 0.632) and S at (0.000, 0.471, 0.250).



Record 6
Crystalline TmTh5S6 at its relaxed geometry. Source: Alexandria via LeMat-Bulk, functional PBE.

The value obtained for the uncorrected energy is -177.008 eV per cell. The formation energy from raw total energies is -1.85 eV per atom.

The structure belongs to space group C2/m (No. 12); the cell edges are 6.959, 12.015 and 6.951 Å and the angles 90.00°, 109.39° and 90.00°. The asymmetric unit holds Tm at (0.000, 0.000, 0.000), Th at (0.000, 0.171, 0.500), Th at (0.000, 0.334, 0.000), Th at (0.000, 0.500, 0.500), S at (0.239, 0.000, 0.753) and S at (0.241, 0.161, 0.240).



Record 7
Crystalline Tm3ThS6 at its relaxed geometry. Source: Alexandria via LeMat-Bulk, functional PBE.

The value obtained for the uncorrected energy is -132.269 eV per cell. The formation energy from raw total energies is -2.05 eV per atom.

The structure belongs to space group P2_1/m (No. 11); the cell edges are 10.956, 3.903 and 11.243 Å and the angles 90.00°, 108.32° and 90.00°. The asymmetric unit holds Tm at (0.064, 0.250, 0.166), Tm at (0.178, 0.750, 0.500), Tm at (0.339, 0.250, 0.917), Th at (0.451, 0.250, 0.303), S at (0.020, 0.250, 0.386), S at (0.106, 0.250, 0.940), S at (0.238, 0.750, 0.272), S at (0.306, 0.750, 0.749), S at (0.381, 0.250, 0.534) and S at (0.418, 0.750, 0.093).



Record 8
Crystalline TmTh4S5 at its relaxed geometry. Source: Alexandria via LeMat-Bulk, functional PBE.

The value obtained for the uncorrected energy is -146.419 eV per cell. The formation energy from raw total energies is -1.84 eV per atom.

The structure belongs to space group I4/m (No. 87); the cell edges are 8.960, 8.960 and 5.672 Å and the angles 90.00°, 90.00° and 90.00°. The asymmetric unit holds Tm at (0.000, 0.000, 0.000), Th at (0.097, 0.304, 0.500), S at (0.000, 0.000, 0.500) and S at (0.100, 0.288, 0.000).



Record 9
Crystalline YTm2Th3S6 at its relaxed geometry. Source: Alexandria via LeMat-Bulk, functional PBE.

The value obtained for the uncorrected energy is -170.161 eV per cell. The formation energy from raw total energies is -1.89 eV per atom.

The structure belongs to space group C2/m (No. 12); the cell edges are 6.705, 11.557 and 7.136 Å and the angles 90.00°, 108.08° and 90.00°. The asymmetric unit holds Y at (0.000, 0.000, 0.000), Tm at (0.000, 0.333, 0.000), Th at (0.000, 0.165, 0.500), Th at (0.000, 0.500, 0.500), S at (0.238, 0.500, 0.228) and S at (0.245, 0.169, 0.230).



Record 10
Crystalline Y3TmTh4S8 at its relaxed geometry. Source: Alexandria via LeMat-Bulk, functional PBE.

The value obtained for the uncorrected energy is -351.268 eV per cell. The formation energy from raw total energies is -1.91 eV per atom.

The structure belongs to space group R-3m (No. 166, hexagonal axes); the cell edges are 7.7978, 7.7978 and 20.1701 Å and the angles 90.00°, 90.00° and 120.00°. The asymmetric unit holds Y at (0.0000, 0.5000, 0.0000), Tm at (0.0000, 0.0000, 0.0000), Th at (0.0000, 0.0000, 0.5000), Th at (0.0000, 0.5000, 0.5000), S at (0.0000, 0.0000, 0.2551) and S at (0.0032, 0.5016, 0.7442).



Record 11
Crystalline Y2TmThS4 at its relaxed geometry. Source: Alexandria via LeMat-Bulk, functional PBE.

The value obtained for the uncorrected energy is -56.683 eV per cell. The formation energy from raw total energies is -1.92 eV per atom.

The structure belongs to space group P2/m (No. 10); the cell edges are 6.806, 3.903 and 6.867 Å and the angles 90.00°, 109.12° and 90.00°. The asymmetric unit holds Y at (0.000, 0.000, 0.000), Y at (0.000, 0.500, 0.500), Tm at (0.500, 0.000, 0.500), Th at (0.500, 0.500, 0.000), S at (0.244, 0.000, 0.738) and S at (0.251, 0.500, 0.260).



Record 12
Crystalline YTm3Th4S8 at its relaxed geometry. Source: Alexandria via LeMat-Bulk, functional PBE.

The value obtained for the uncorrected energy is -338.701 eV per cell. The formation energy from raw total energies is -1.90 eV per atom.

The structure belongs to space group R-3m (No. 166, hexagonal axes); the cell edges are 7.7442, 7.7442 and 20.1754 Å and the angles 90.00°, 90.00° and 120.00°. The asymmetric unit holds Y at (0.0000, 0.0000, 0.0000), Tm at (0.0000, 0.5000, 0.0000), Th at (0.0000, 0.0000, 0.5000), Th at (0.0000, 0.5000, 0.5000), S at (0.0000, 0.0000, 0.2573) and S at (0.0031, 0.5016, 0.2567).



Record 13
Crystalline Y2Tm3ThS6 at its relaxed geometry. Source: Alexandria via LeMat-Bulk, functional PBE.

The value obtained for the uncorrected energy is -163.288 eV per cell. The formation energy from raw total energies is -1.93 eV per atom.

The structure belongs to space group C2/m (No. 12); the cell edges are 17.063, 3.890 and 7.846 Å and the angles 90.00°, 103.89° and 90.00°. The asymmetric unit holds Y at (0.164, 0.000, 0.328), Tm at (0.000, 0.500, 0.500), Tm at (0.164, 0.000, 0.834), Th at (0.000, 0.500, 0.000), S at (0.002, 0.000, 0.736), S at (0.167, 0.500, 0.588) and S at (0.173, 0.500, 0.081).



Record 14
Crystalline Th4US5 at its relaxed geometry. Source: Alexandria via LeMat-Bulk, functional PBE.

The value obtained for the uncorrected energy is -157.996 eV per cell. The formation energy from raw total energies is -1.74 eV per atom.

The structure belongs to space group I4/mmm (No. 139); the cell edges are 4.014, 4.014 and 28.424 Å and the angles 90.00°, 90.00° and 90.00°. The asymmetric unit holds Th at (0.000, 0.000, 0.099), Th at (0.000, 0.000, 0.301), U at (0.000, 0.000, 0.500), S at (0.000, 0.000, 0.000), S at (0.000, 0.000, 0.200) and S at (0.000, 0.000, 0.402).



Record 15
Crystalline ThUS at its relaxed geometry. Source: Alexandria via LeMat-Bulk, functional PBE.

The value obtained for the uncorrected energy is -98.980 eV per cell. The formation energy from raw total energies is -0.64 eV per atom.

The structure belongs to space group Pnma (No. 62); the cell edges are 8.276, 5.254 and 6.759 Å and the angles 90.00°, 90.00° and 90.00°. The asymmetric unit holds Th at (0.192, 0.250, 0.187), U at (0.029, 0.250, 0.570) and S at (0.113, 0.750, 0.063).



Record 16
Crystalline ThU3S4 at its relaxed geometry. Source: Alexandria via LeMat-Bulk, functional PBE.

The value obtained for the uncorrected energy is -139.214 eV per cell. The formation energy from raw total energies is -1.48 eV per atom.

The structure belongs to space group Cmmm (No. 65); the cell edges are 7.892, 11.070 and 3.892 Å and the angles 90.00°, 90.00° and 90.00°. The asymmetric unit holds Th at (0.000, 0.000, 0.000), U at (0.000, 0.500, 0.000), U at (0.250, 0.250, 0.500), S at (0.000, 0.255, 0.000) and S at (0.241, 0.500, 0.500).



Record 17
Crystalline Th3U5S12 at its relaxed geometry. Source: Alexandria via LeMat-Bulk, functional PBE.

The value obtained for the uncorrected energy is -1229.691 eV per cell. The formation energy from raw total energies is -1.27 eV per atom.

The structure belongs to space group Ia-3d (No. 230); the cell edges are 16.153, 16.153 and 16.153 Å and the angles 90.00°, 90.00° and 90.00°. The asymmetric unit holds Th at (0.000, 0.250, 0.125), U at (0.000, 0.000, 0.000), U at (0.000, 0.250, 0.375) and S at (0.020, 0.073, 0.652).